HfZrRu2 | PBE | optimized geometry

Calculated values
- formation energy (meV/atom) = 0
- calculated volume (Å³/atom) = 18.613
- total energy (eV per atom) = -9.264

abc: 5.817 5.817 5.817
angles: 105.36 105.36 118.06
Positions (direct):
1 Hf 0.000 0.000 0.000
2 Hf 0.750 0.250 0.500
3 Zr 0.250 0.750 0.500
4 Zr 0.500 0.500 0.000
5 Ru 0.123 0.625 0.998
6 Ru 0.375 0.373 0.498
7 Ru 0.627 0.125 0.002
8 Ru 0.875 0.877 0.502

---

YMo5 | PBE | optimized geometry

Calculated values
- formation energy (meV/atom) = 214
- calculated volume (Å³/atom) = 19.044
- total energy (eV per atom) = -9.889

abc: 5.504 5.504 4.356
angles: 90.00 90.00 120.00
Positions (direct):
1 Y 0.000 0.000 0.000
2 Mo 0.000 0.500 0.500
3 Mo 0.333 0.667 0.000
4 Mo 0.500 0.000 0.500
5 Mo 0.500 0.500 0.500
6 Mo 0.667 0.333 0.000

---

YGe2BiB | PBE | optimized geometry

Calculated values
- formation energy (meV/atom) = 1491
- calculated volume (Å³/atom) = 34.359
- total energy (eV per atom) = -3.760

abc: 5.430 5.430 5.827
angles: 90.00 90.00 90.00
Positions (direct):
1 Y 0.000 0.000 0.000
2 Ge 0.000 0.500 0.000
3 Ge 0.500 0.000 0.000
4 Bi 0.000 0.000 0.500
5 B 0.500 0.500 0.500

---

Li6AsAu5 | PBE | optimized geometry

Calculated values
- formation energy (meV/atom) = -531
- calculated volume (Å³/atom) = 15.286
- total energy (eV per atom) = -3.241

abc: 4.276 6.646 6.754
angles: 90.00 107.09 90.00
Positions (direct):
1 Li 0.000 0.245 0.000
2 Li 0.000 0.755 0.000
3 Li 0.337 0.248 0.673
4 Li 0.337 0.752 0.673
5 Li 0.663 0.248 0.327
6 Li 0.663 0.752 0.327
7 As 0.500 0.000 0.000
8 Au 0.166 0.500 0.334
9 Au 0.168 0.000 0.339
10 Au 0.500 0.500 0.000
11 Au 0.832 0.000 0.661
12 Au 0.834 0.500 0.666

---

Nb2VGe | PBE | optimized geometry

Calculated values
- formation energy (meV/atom) = -207
- calculated volume (Å³/atom) = 16.139
- total energy (eV per atom) = -8.676

abc: 4.272 4.272 3.537
angles: 90.00 90.00 90.00
Positions (direct):
1 Nb 0.000 0.500 0.000
2 Nb 0.500 0.000 0.000
3 V 0.000 0.000 0.500
4 Ge 0.500 0.500 0.500

---

SmDy2Y3Er6 | PBE | optimized geometry

Calculated values
- formation energy (meV/atom) = 22
- calculated volume (Å³/atom) = 31.305
- total energy (eV per atom) = -5.035

abc: 6.127 6.127 11.725
angles: 94.98 94.98 119.94
Positions (direct):
1 Sm 0.000 0.000 0.000
2 Dy 0.333 0.667 0.000
3 Dy 0.667 0.333 0.000
4 Y 0.167 0.833 0.500
5 Y 0.500 0.500 0.500
6 Y 0.833 0.167 0.500
7 Er 0.084 0.418 0.250
8 Er 0.250 0.250 0.750
9 Er 0.418 0.084 0.250
10 Er 0.582 0.916 0.750
11 Er 0.750 0.750 0.250
12 Er 0.916 0.582 0.750

---

NaSmHo | PBE | optimized geometry

Calculated values
- formation energy (meV/atom) = 119
- calculated volume (Å³/atom) = 34.297
- total energy (eV per atom) = -3.419

abc: 10.651 10.651 5.585
angles: 90.01 90.01 18.95
Positions (direct):
1 Na 0.208 0.208 0.249
2 Na 0.792 0.792 0.751
3 Sm 0.394 0.394 0.250
4 Sm 0.606 0.606 0.750
5 Ho 0.041 0.041 0.250
6 Ho 0.959 0.959 0.750

---

NaTlSi2Os | PBE | optimized geometry

Calculated values
- calculated volume (Å³/atom) = 23.528
- energy relative to the elements, uncorrected (eV per atom) = 2.10
- total energy (eV per atom) = -3.052

abc: 4.817 4.817 5.070
angles: 90.00 90.00 90.00
Positions (direct):
1 Na 0.000 0.000 0.000
2 Tl 0.000 0.000 0.500
3 Si 0.000 0.500 0.000
4 Si 0.500 0.000 0.000
5 Os 0.500 0.500 0.500

---

MnPbS2 | PBE | optimized geometry

Calculated values
- calculated volume (Å³/atom) = 21.049
- energy relative to the elements, uncorrected (eV per atom) = -0.46
- total energy (eV per atom) = -5.747

abc: 8.680 8.680 8.680
angles: 22.53 22.53 22.53
Positions (direct):
1 Mn 0.000 0.000 0.000
2 Pb 0.500 0.500 0.500
3 S 0.384 0.384 0.384
4 S 0.616 0.616 0.616

---

Mn2Ni | PBE | optimized geometry

Calculated values
- formation energy (meV/atom) = 48
- calculated volume (Å³/atom) = 11.826
- total energy (eV per atom) = -7.992

abc: 4.036 4.036 2.514
angles: 90.00 90.00 120.00
Positions (direct):
1 Mn 0.333 0.667 0.131
2 Mn 0.667 0.333 0.869
3 Ni 0.000 0.000 0.500

---

Pu5Cu2Ge5 | PBE | optimized geometry

Calculated values
- formation energy (meV/atom) = -331
- calculated volume (Å³/atom) = 21.383
- total energy (eV per atom) = -8.910

abc: 7.714 7.714 11.024
angles: 129.78 129.78 31.58
Positions (direct):
1 Pu 0.000 0.000 0.000
2 Pu 0.310 0.310 0.403
3 Pu 0.373 0.373 0.200
4 Pu 0.627 0.627 0.800
5 Pu 0.690 0.690 0.597
6 Cu 0.392 0.392 0.744
7 Cu 0.608 0.608 0.256
8 Ge 0.000 0.000 0.500
9 Ge 0.074 0.074 0.332
10 Ge 0.313 0.313 0.886
11 Ge 0.687 0.687 0.114
12 Ge 0.926 0.926 0.668

---

SmPuTl3 | PBE | optimized geometry

Calculated values
- formation energy (meV/atom) = 36
- calculated volume (Å³/atom) = 30.674
- total energy (eV per atom) = -5.193

abc: 7.772 7.772 5.864
angles: 90.00 90.00 120.00
Positions (direct):
1 Sm 0.333 0.667 0.250
2 Sm 0.667 0.333 0.750
3 Pu 0.000 0.000 0.000
4 Pu 0.000 0.000 0.500
5 Tl 0.202 0.404 0.750
6 Tl 0.202 0.798 0.750
7 Tl 0.404 0.202 0.250
8 Tl 0.596 0.798 0.750
9 Tl 0.798 0.202 0.250
10 Tl 0.798 0.596 0.250

---

Ba2NaCu3Sb4 | PBE | optimized geometry

Calculated values
- calculated volume (Å³/atom) = 25.934
- energy relative to the elements, uncorrected (eV per atom) = -0.47
- total energy (eV per atom) = -3.865

abc: 4.807 4.807 11.224
angles: 90.00 90.00 90.00
Positions (direct):
1 Ba 0.000 0.500 0.250
2 Ba 0.500 0.000 0.750
3 Na 0.000 0.000 0.500
4 Cu 0.000 0.500 0.880
5 Cu 0.500 0.000 0.120
6 Cu 0.500 0.500 0.500
7 Sb 0.000 0.000 0.000
8 Sb 0.000 0.500 0.645
9 Sb 0.500 0.000 0.355
10 Sb 0.500 0.500 0.000

---

Cs2SbIrF6 | PBE | optimized geometry

Calculated values
- calculated volume (Å³/atom) = 20.353
- energy relative to the elements, uncorrected (eV per atom) = -1.81
- total energy (eV per atom) = -4.403

abc: 6.716 6.716 6.716
angles: 123.03 123.03 84.83
Positions (direct):
1 Cs 0.250 0.750 0.500
2 Cs 0.750 0.250 0.500
3 Sb 0.000 0.000 0.000
4 Ir 0.500 0.500 0.000
5 F 0.220 0.220 0.000
6 F 0.246 0.246 0.493
7 F 0.246 0.754 0.000
8 F 0.754 0.246 0.000
9 F 0.754 0.754 0.507
10 F 0.780 0.780 0.000

---

Tm4InHg2Au | PBE | optimized geometry

Calculated values
- formation energy (meV/atom) = -563
- calculated volume (Å³/atom) = 24.394
- total energy (eV per atom) = -3.626

abc: 8.923 8.923 8.923
angles: 33.73 33.73 33.73
Positions (direct):
1 Tm 0.120 0.120 0.120
2 Tm 0.371 0.371 0.371
3 Tm 0.629 0.629 0.629
4 Tm 0.880 0.880 0.880
5 In 0.500 0.500 0.500
6 Hg 0.246 0.246 0.246
7 Hg 0.754 0.754 0.754
8 Au 0.000 0.000 0.000

---

LiHf2HPt | PBE | optimized geometry

Calculated values
- calculated volume (Å³/atom) = 14.511
- total energy (eV per atom) = -6.731

abc: 4.407 4.407 3.735
angles: 90.00 90.00 90.00
Positions (direct):
1 Li 0.000 0.000 0.000
2 Hf 0.000 0.500 0.500
3 Hf 0.500 0.000 0.500
4 H 0.000 0.000 0.500
5 Pt 0.500 0.500 0.000

---

Ac3La3Nd | PBE | optimized geometry

Calculated values
- formation energy (meV/atom) = 41
- calculated volume (Å³/atom) = 40.632
- total energy (eV per atom) = -4.513

abc: 10.287 10.287 6.207
angles: 90.00 90.00 120.00
Positions (direct):
1 Ac 0.094 0.469 0.250
2 Ac 0.375 0.906 0.250
3 Ac 0.469 0.375 0.750
4 Ac 0.531 0.625 0.250
5 Ac 0.625 0.094 0.750
6 Ac 0.906 0.531 0.750
7 La 0.045 0.233 0.750
8 La 0.187 0.955 0.750
9 La 0.233 0.187 0.250
10 La 0.767 0.813 0.750
11 La 0.813 0.045 0.250
12 La 0.955 0.767 0.250
13 Nd 0.333 0.667 0.750
14 Nd 0.667 0.333 0.250

---

Y2SiRu2 | PBE | optimized geometry

Calculated values
- calculated volume (Å³/atom) = 19.905
- energy relative to the elements, uncorrected (eV per atom) = -0.60
- total energy (eV per atom) = -7.977

abc: 5.767 5.767 7.317
angles: 101.05 101.05 56.93
Positions (direct):
1 Y 0.001 0.284 0.142
2 Y 0.284 0.001 0.642
3 Y 0.716 0.999 0.358
4 Y 0.999 0.716 0.858
5 Si 0.405 0.595 0.250
6 Si 0.595 0.405 0.750
7 Ru 0.223 0.511 0.487
8 Ru 0.489 0.777 0.013
9 Ru 0.511 0.223 0.987
10 Ru 0.777 0.489 0.513

---

Y2Ni3Ge2 | PBE | optimized geometry

Calculated values
- formation energy (meV/atom) = -632
- calculated volume (Å³/atom) = 16.947
- total energy (eV per atom) = -6.275

abc: 5.472 5.472 6.638
angles: 113.27 113.27 41.17
Positions (direct):
1 Y 0.134 0.134 0.261
2 Y 0.866 0.866 0.739
3 Ni 0.383 0.383 0.071
4 Ni 0.500 0.500 0.500
5 Ni 0.617 0.617 0.929
6 Ge 0.149 0.149 0.731
7 Ge 0.851 0.851 0.269

---

LiBW2Au | PBE | optimized geometry

Calculated values
- formation energy (meV/atom) = 437
- calculated volume (Å³/atom) = 14.440
- total energy (eV per atom) = -7.118

abc: 4.198 4.198 4.097
angles: 90.00 90.00 90.00
Positions (direct):
1 Li 0.000 0.000 0.000
2 B 0.000 0.000 0.500
3 W 0.000 0.500 0.500
4 W 0.500 0.000 0.500
5 Au 0.500 0.500 0.000